# 1
Entry from the Alexandria database: an optimized crystal structure of CaMgTl2H (PBE).

Output
Its space group is P4/mmm.

Unit cell a=5.1570 b=5.1570 c=4.3137 alpha=90.00 beta=90.00 gamma=90.00
Fractional positions:
Tl: 0.0000 0.5000 0.0000
Tl: 0.5000 0.0000 0.0000
Ca: 0.0000 0.0000 0.5000
H: 0.0000 0.0000 0.0000
Mg: 0.5000 0.5000 0.5000

---

# 2
Entry from the Alexandria database: an optimized crystal structure of Hf8Ir2Rh3 (PBE).

Output
Its formation enthalpy at 0 K is -484 meV per atom. Its space group is C2/m.

Unit cell a=5.5772 b=6.5518 c=7.9836 alpha=114.23 beta=97.58 gamma=90.00
Fractional positions:
Ir: 0.2784 0.2711 0.5421
Hf: 0.7766 0.5564 0.1128
Hf: 0.1615 0.8303 0.6605
Ir: 0.7216 0.7289 0.4579
Rh: 0.5000 0.0000 0.0000
Hf: 0.6519 0.6039 0.7207
Hf: 0.3481 0.3961 0.2793
Hf: 0.3481 0.8832 0.2793
Hf: 0.8385 0.1697 0.3395
Hf: 0.6519 0.1168 0.7207
Rh: 0.0000 0.1893 0.0000
Hf: 0.2234 0.4436 0.8872
Rh: 0.0000 0.8107 0.0000

---

Number 1: spin magnetization 0.00 μB per formula unit, E_tot -12.22 eV for the cell shown. Number 2: spin magnetization 0.00 μB per formula unit, E_tot -125.69 eV for the cell shown.